Mn2MoO5: optimized geometry, PBE+U.

Cell and atoms, written as POSCAR:
```
Mn2MoO5
1.0
5.5631 -0.2329 2.3096
-0.7276 5.5202 2.3096
0.0291 0.0319 7.7877
Mn Mo O
4 2 10
direct
0.5000 0.0000 0.0000 Mn
0.5000 0.5000 0.0000 Mn
0.5000 0.5000 0.5000 Mn
0.0000 0.5000 0.5000 Mn
0.8756 0.1244 0.2500 Mo
0.1244 0.8756 0.7500 Mo
0.6247 0.3753 0.7500 O
0.3753 0.6247 0.2500 O
0.2975 0.7991 0.9019 O
0.8000 0.7992 0.4001 O
0.7991 0.2975 0.4019 O
0.2008 0.2000 0.0999 O
0.7992 0.8000 0.9001 O
0.2000 0.2008 0.5999 O
0.2009 0.7025 0.5981 O
0.7025 0.2009 0.0981 O
```

Spin magnetization (μB per formula unit): 10.00
V (Å³/cell): 237
Raw total energy (eV per atom): -7.460